Record 1
BaNaF (GGA-PBE, optimized geometry); density of states at the Fermi level = 0.576 states/eV per atom; space group = C2/m, No. 12; energy relative to the elements, uncorrected = -1.85 eV/atom; E above lowest polymorph = 0.045 eV per atom; calculated volume = 433.1 Å³/cell
1.0
-2.337 -6.380 0.294
0.804 -0.501 -4.461
14.940 1.035 2.578
Na Ba F
4 4 4
Cartesian
8.859 -1.428 1.758
3.744 -3.916 1.114
1.791 -2.196 -1.762
11.616 -3.649 0.173
-0.137 -5.213 0.560
12.740 -0.131 2.312
7.735 -4.946 -0.381
5.672 -0.899 -1.207
2.378 -5.910 1.092
10.225 0.565 1.780
10.250 -5.642 0.150
3.157 -0.203 -1.739

***

Record 2
Sr2ErThBi4 (GGA-PBE, optimized geometry); density of states at the Fermi level = 0.645 states/eV per atom; space group = P2/m, No. 10; calculated formation energy = -588.7 kJ/mol of formula units; calculated volume = 291.8 Å³/cell
1.0
-3.141 2.988 1.695
2.201 -1.908 7.443
4.626 6.360 -2.641
Sr Er Th Bi
2 1 1 4
Cartesian
0.742 4.674 -0.473
3.413 2.226 2.401
0.000 0.000 0.000
-0.470 0.540 4.569
-0.003 2.481 2.013
3.688 4.959 4.484
4.114 4.415 -0.161
2.713 0.036 4.963

***

Record 3
Pm5DyTl2 (GGA-PBE, optimized geometry); density of states at the Fermi level = 1.340 states/eV per atom; space group = Immm, No. 71; E above lowest polymorph = 0.000 eV per atom; calculated formation energy = -84.0 kJ/mol of formula units; calculated volume = 253.3 Å³/cell
1.0
-0.683 0.405 3.599
-2.068 -7.922 2.387
7.362 -2.427 3.556
Pm Dy Tl
5 1 2
Cartesian
2.647 -5.174 2.972
-0.611 -4.715 4.190
5.222 -5.229 5.354
1.032 -7.671 4.834
3.580 -2.273 4.709
0.000 0.000 0.000
3.605 -7.721 7.215
1.006 -2.222 2.328